First-principles (PBE-GGA) data for an optimized crystal structure of PuCd3Rh, as listed in Alexandria via LeMat-Bulk.

Output
D(E_F) in states/eV/f.u.: 9.62
Spin magnetization in μB per atom: 1.021
Crystal system: monoclinic
Excess energy over the best structure of this formula in the dataset in meV per atom: 0
V in Å³ per atom: 22.06

abc: 5.291 5.775 7.642
angles: 90.00 109.14 90.00
Space group P2_1/m (No. 11)
Asymmetric unit:
Pu 0.118 0.250 0.417 [2 per cell]
Cd 0.047 0.250 0.888 [2 per cell]
Cd 0.486 0.000 0.191 [4 per cell]
Rh 0.323 0.750 0.474 [2 per cell]